ZnTc2Rh PBE-GGA optimized geometry; formation energy = -0.0643 eV/atom; D(E_F) = 1.3731 states/eV/atom
1.0
2.7632 0.0000 0.0000
-1.3816 2.3930 0.0000
0.0000 0.0000 26.1295
Zn Tc Rh
3 6 3
Direct
0.0000 0.0000 0.0000
0.3333 0.6667 0.6667
0.6667 0.3333 0.3333
0.0000 0.0000 0.2469
0.0000 0.0000 0.5000
0.3333 0.6667 0.1667
0.3333 0.6667 0.9135
0.6667 0.3333 0.5802
0.6667 0.3333 0.8333
0.0000 0.0000 0.7482
0.3333 0.6667 0.4149
0.6667 0.3333 0.0815